NaMn3F | the Alexandria database | PBE with a Hubbard U | relaxed; polymorph energy (0 for the lowest one) = 0.8710 eV/atom; VASP energy = -4.153 eV per atom; total moment = 15.0 Bohr magnetons per cell
1.0
5.526 0.000 0.000
0.000 5.526 0.000
0.000 0.000 5.526
Na Mn F
1 3 1
Cartesian
0.000 0.000 0.000
0.000 0.000 2.763
0.000 2.763 0.000
2.763 0.000 0.000
2.763 2.763 2.763